# 1
VASP calculation (GGA-PBE) on BeAlTc2 after structural relaxation.

Values from the calculation:
spin magnetization = 0.0 μB/f.u.
DFT formation energy = -0.025 eV per atom
density of states at the Fermi level = 24.722 states/eV/cell
distance to the lowest polymorph of the same formula = 0.275 eV/atom

a b c (Å): 5.9190 5.9190 5.9190
angles (deg): 90.00 90.00 90.00
With the nearest neighbours (Å) after each atom.
Space group Fm-3m (No. 225)
One atom of each set of equivalent atoms:
Be1 0.0000 0.0000 0.0000 x4  8 Tc 2.56
Al1 0.0000 0.0000 0.5000 x4  8 Tc 2.56
Tc1 0.2500 0.2500 0.2500 x8  4 Be 2.56, 4 Al 2.56


# 2
VASP calculation (GGA-PBE) on BeAlTc2 after structural relaxation.

Values from the calculation:
spin magnetization = 0.0 μB/f.u.
DFT formation energy = -0.005 eV per atom
density of states at the Fermi level = 14.577 states/eV/cell
distance to the lowest polymorph of the same formula = 0.295 eV/atom

a b c (Å): 2.7821 2.7821 23.8286
angles (deg): 90.00 90.00 120.00
With the nearest neighbours (Å) after each atom.
Space group R-3m (No. 166, hexagonal axes)
One atom of each set of equivalent atoms:
Be1 0.0000 0.0000 0.0000 x3  6 Tc 2.44
Al1 0.0000 0.0000 0.5000 x3  6 Tc 2.67, 6 Al 2.78
Tc1 0.0000 0.0000 0.2562 x6  3 Be 2.44, 3 Al 2.67


# 3
VASP calculation (GGA-PBE) on BeAlTc2 after structural relaxation.

Values from the calculation:
spin magnetization = 0.0 μB/f.u.
DFT formation energy = -0.300 eV per atom
density of states at the Fermi level = 1.898 states/eV/cell
distance to the lowest polymorph of the same formula = 0.000 eV/atom

a b c (Å): 2.9734 2.9734 5.8762
angles (deg): 90.00 90.00 90.00
With the nearest neighbours (Å) after each atom.
Space group P4mm (No. 99)
One atom of each set of equivalent atoms:
Be1 0.0000 0.0000 0.0000 x1  4 Tc 2.47, 4 Al 2.52
Al1 0.5000 0.5000 0.7626 x1  4 Be 2.52, 5 Tc 2.67-2.70
Tc1 0.0000 0.0000 0.4822 x1  4 Tc 2.60, 4 Al 2.67, 1 Be 2.83
Tc2 0.5000 0.5000 0.2216 x1  4 Be 2.47, 4 Tc 2.60, 1 Al 2.70


# 4
VASP calculation (GGA-PBE) on BeAlTc2 after structural relaxation.

Values from the calculation:
spin magnetization = 0.0 μB/f.u.
DFT formation energy = 0.027 eV per atom
density of states at the Fermi level = 8.617 states/eV/cell
distance to the lowest polymorph of the same formula = 0.327 eV/atom

a b c (Å): 3.7077 3.7077 7.7686
angles (deg): 90.00 90.00 90.00
With the nearest neighbours (Å) after each atom.
Space group I4/mmm (No. 139)
One atom of each set of equivalent atoms:
Be1 0.0000 0.0000 0.0000 x2  4 Al 2.62, 8 Tc 2.68
Al1 0.0000 0.0000 0.5000 x2  4 Be 2.62, 8 Tc 2.68
Tc1 0.0000 0.5000 0.2500 x4  4 Tc 2.62, 4 Be 2.68, 4 Al 2.68


# 5
VASP calculation (GGA-PBE) on BeAlTc2 after structural relaxation.

Values from the calculation:
spin magnetization = 0.0 μB/f.u.
DFT formation energy = -0.163 eV per atom
density of states at the Fermi level = 3.972 states/eV/cell
distance to the lowest polymorph of the same formula = 0.137 eV/atom

a b c (Å): 2.9843 2.9843 5.8230
angles (deg): 90.00 90.00 90.00
With the nearest neighbours (Å) after each atom.
Space group P4/mmm (No. 123)
One atom of each set of equivalent atoms:
Be1 0.0000 0.0000 0.0000 x1  8 Tc 2.44
Al1 0.0000 0.0000 0.5000 x1  8 Tc 2.71, 2 Be 2.91, 4 Al 2.98
Tc1 0.5000 0.5000 0.2094 x2  4 Be 2.44, 1 Tc 2.44, 4 Al 2.71


# 6
VASP calculation (GGA-PBE) on BeAlTc2 after structural relaxation.

Values from the calculation:
spin magnetization = 0.0 μB/f.u.
DFT formation energy = 0.360 eV per atom
density of states at the Fermi level = 16.005 states/eV/cell
distance to the lowest polymorph of the same formula = 0.660 eV/atom

a b c (Å): 3.6809 3.6809 17.5372
angles (deg): 90.00 90.00 90.00
With the nearest neighbours (Å) after each atom.
Space group I-42d (No. 122)
One atom of each set of equivalent atoms:
Be1 0.0000 0.0000 0.0000 x4  4 Tc 2.50, 4 Al 2.60
Al1 0.0000 0.0000 0.5000 x4  4 Be 2.60, 4 Tc 2.61
Tc1 0.2078 0.2500 0.1250 x8  2 Tc 2.39, 2 Be 2.50, 2 Al 2.61


# 7
VASP calculation (GGA-PBE) on BeAlTc2 after structural relaxation.

Values from the calculation:
spin magnetization = 0.0 μB/f.u.
DFT formation energy = -0.058 eV per atom
density of states at the Fermi level = 2.828 states/eV/cell
distance to the lowest polymorph of the same formula = 0.242 eV/atom

a b c (Å): 2.6640 3.9881 5.1131
angles (deg): 90.00 101.89 90.00
With the nearest neighbours (Å) after each atom.
Space group P2/m (No. 10)
One atom of each set of equivalent atoms:
Be1 0.0000 0.0000 0.0000 x1  4 Tc 2.49, 2 Al 2.63, 2 Be 2.66
Al1 0.5000 0.0000 0.5000 x1  4 Tc 2.57, 2 Be 2.63, 2 Al 2.66
Tc1 0.2345 0.5000 0.7598 x2  2 Be 2.49, 4 Tc 2.57-2.69, 2 Al 2.57


# 8
VASP calculation (GGA-PBE) on Be9Al2Tc after structural relaxation.

Values from the calculation:
spin magnetization = 0.0 μB/f.u.
DFT formation energy = -0.115 eV per atom
density of states at the Fermi level = 11.731 states/eV/cell

a b c (Å): 4.3734 4.3734 20.5471
angles (deg): 90.00 90.00 120.00
With the nearest neighbours (Å) after each atom.
Space group R-3m (No. 166, hexagonal axes)
One atom of each set of equivalent atoms:
Be1 0.0000 0.0000 0.0000 x3  6 Be 2.18
Be2 0.0000 0.0000 0.1678 x6  6 Be 2.06-2.09
Be3 0.0014 0.5007 0.5803 x18  7 Be 2.06-2.20
Al1 0.0000 0.0000 0.3603 x6  12 Be 2.50-2.65, 3 Al 2.76
Tc1 0.0000 0.0000 0.5000 x3  18 Be 2.53-2.74


# 9
VASP calculation (GGA-PBE) on Be2AlTc2 after structural relaxation.

Values from the calculation:
spin magnetization = 0.0 μB/f.u.
DFT formation energy = 0.201 eV per atom
density of states at the Fermi level = 4.015 states/eV/cell
distance to the lowest polymorph of the same formula = 0.645 eV/atom

a b c (Å): 4.2492 4.2492 7.4451
angles (deg): 90.00 90.00 90.00
With the nearest neighbours (Å) after each atom.
Space group I4/mmm (No. 139)
One atom of each set of equivalent atoms:
Be1 0.0000 0.5000 0.2500 x4  4 Tc 2.23
Al1 0.0000 0.0000 0.0000 x2  2 Tc 2.52, 8 Be 2.82
Tc1 0.0000 0.0000 0.3390 x4  4 Be 2.23, 1 Tc 2.40


# 10
VASP calculation (GGA-PBE) on Be2Al2Tc after structural relaxation.

Values from the calculation:
spin magnetization = 0.0 μB/f.u.
DFT formation energy = -0.064 eV per atom
density of states at the Fermi level = 3.819 states/eV/cell
distance to the lowest polymorph of the same formula = 0.011 eV/atom

a b c (Å): 6.1431 6.1431 3.2140
angles (deg): 90.00 90.00 90.00
With the nearest neighbours (Å) after each atom.
Space group P4/mbm (No. 127)
One atom of each set of equivalent atoms:
Be1 0.1228 0.3772 0.0000 x4  1 Be 2.13, 2 Al 2.38
Al1 0.1744 0.6744 0.5000 x4  6 Be 2.38-2.45
Tc1 0.0000 0.0000 0.0000 x2  4 Be 2.44


# 11
VASP calculation (GGA-PBE) on BeAl6Tc2 after structural relaxation.

Values from the calculation:
spin magnetization = 0.0 μB/f.u.
DFT formation energy = -0.254 eV per atom
density of states at the Fermi level = 6.031 states/eV/cell

a b c (Å): 12.3381 3.5225 6.2674
angles (deg): 90.00 110.64 90.00
With the nearest neighbours (Å) after each atom.
Space group C2/m (No. 12)
One atom of each set of equivalent atoms:
Be1 0.0000 0.0000 0.0000 x2  4 Tc 2.46, 4 Al 2.71
Al1 0.1013 0.0000 0.6501 x4  5 Al 2.54-2.78, 4 Tc 2.71-2.75
Al2 0.1667 0.5000 0.9969 x4  8 Al 2.65-2.94, 2 Tc 2.68-2.69, 2 Be 2.71
Al3 0.2216 0.0000 0.3353 x4  8 Al 2.61-2.87, 2 Tc 2.66, 1 Be 2.80
Tc1 0.0532 0.5000 0.2926 x4  2 Be 2.46, 8 Al 2.66-2.75


# 12
VASP calculation (GGA-PBE) on BeAlTc2 after structural relaxation.

Values from the calculation:
spin magnetization = 0.0 μB/f.u.
DFT formation energy = -0.068 eV per atom
density of states at the Fermi level = 3.101 states/eV/cell
distance to the lowest polymorph of the same formula = 0.232 eV/atom

a b c (Å): 4.0387 3.1061 4.2393
angles (deg): 90.00 90.39 90.00
With the nearest neighbours (Å) after each atom.
Space group P2/m (No. 10)
One atom of each set of equivalent atoms:
Be1 0.0000 0.0000 0.0000 x1  4 Tc 2.55, 4 Al 2.63
Al1 0.0000 0.5000 0.5000 x1  4 Tc 2.55, 4 Be 2.63
Tc1 0.5000 0.0000 0.5000 x1  4 Al 2.55, 4 Tc 2.63
Tc2 0.5000 0.5000 0.0000 x1  4 Be 2.55, 4 Tc 2.63


# 13
VASP calculation (GGA-PBE) on BeAlTc3 after structural relaxation.

Values from the calculation:
spin magnetization = 0.0 μB/f.u.
DFT formation energy = 0.485 eV per atom
density of states at the Fermi level = 7.906 states/eV/cell
distance to the lowest polymorph of the same formula = 0.000 eV/atom

a b c (Å): 4.1476 4.1476 4.1476
angles (deg): 90.00 90.00 90.00
With the nearest neighbours (Å) after each atom.
Space group Pm-3m (No. 221)
One atom of each set of equivalent atoms:
Be1 0.0000 0.0000 0.0000 x1  6 Tc 2.07
Al1 0.5000 0.5000 0.5000 x1  12 Tc 2.93
Tc1 0.0000 0.0000 0.5000 x3  2 Be 2.07


# 14
VASP calculation (GGA-PBE) on Be2AlTc2 after structural relaxation.

Values from the calculation:
spin magnetization = 0.0 μB/f.u.
DFT formation energy = 0.044 eV per atom
density of states at the Fermi level = 6.731 states/eV/cell
distance to the lowest polymorph of the same formula = 0.488 eV/atom

a b c (Å): 6.4894 6.4894 3.0592
angles (deg): 90.00 90.00 90.00
With the nearest neighbours (Å) after each atom.
Space group P4/mbm (No. 127)
One atom of each set of equivalent atoms:
Be1 0.1617 0.3383 0.0000 x4  6 Tc 2.42-2.46
Al1 0.0000 0.0000 0.5000 x2  4 Tc 2.53
Tc1 0.1333 0.6333 0.5000 x4  6 Be 2.42-2.46, 1 Tc 2.45, 2 Al 2.53


# 15
VASP calculation (GGA-PBE) on Be2AlTc2 after structural relaxation.

Values from the calculation:
spin magnetization = 0.0 μB/f.u.
DFT formation energy = -0.444 eV per atom
density of states at the Fermi level = 6.136 states/eV/cell
distance to the lowest polymorph of the same formula = 0.000 eV/atom

a b c (Å): 6.0078 6.0078 3.1583
angles (deg): 90.00 90.00 90.00
With the nearest neighbours (Å) after each atom.
Space group P4/mbm (No. 127)
One atom of each set of equivalent atoms:
Be1 0.1191 0.3809 0.0000 x4  1 Be 2.02
Al1 0.0000 0.0000 0.0000 x2  4 Be 2.40
Tc1 0.1755 0.6755 0.5000 x4  6 Be 2.35-2.40


# 16
VASP calculation (GGA-PBE) on BeAlVTc after structural relaxation.

Values from the calculation:
spin magnetization = 0.0 μB/f.u.
DFT formation energy = -0.235 eV per atom
density of states at the Fermi level = 17.521 states/eV/cell

a b c (Å): 5.8967 5.8967 5.8967
angles (deg): 90.00 90.00 90.00
With the nearest neighbours (Å) after each atom.
Space group F-43m (No. 216)
One atom of each set of equivalent atoms:
Be1 0.0000 0.0000 0.0000 x4  4 V 2.55, 4 Al 2.55
Al1 0.2500 0.2500 0.7500 x4  4 Tc 2.55, 4 Be 2.55
V1 0.2500 0.2500 0.2500 x4  4 Tc 2.55, 4 Be 2.55
Tc1 0.0000 0.0000 0.5000 x4  4 Al 2.55, 4 V 2.55


# 17
VASP calculation (GGA-PBE) on BeAl2TcW after structural relaxation.

Values from the calculation:
spin magnetization = 3.1 μB/f.u.
DFT formation energy = 1.442 eV per atom
density of states at the Fermi level = 5.304 states/eV/cell

a b c (Å): 4.7490 4.7490 4.3322
angles (deg): 90.00 90.00 90.00
With the nearest neighbours (Å) after each atom.
Space group P4/mmm (No. 123)
One atom of each set of equivalent atoms:
Be1 0.0000 0.0000 0.0000 x1  2 W 2.17
Al1 0.0000 0.5000 0.5000 x2  2 W 2.37
Tc1 0.5000 0.5000 0.0000 x1  8 Al 3.21, 4 Be 3.36
W1 0.0000 0.0000 0.5000 x1  2 Be 2.17, 4 Al 2.37


# 18
VASP calculation (GGA-PBE) on BeAlTcW after structural relaxation.

Values from the calculation:
spin magnetization = 0.0 μB/f.u.
DFT formation energy = -0.145 eV per atom
density of states at the Fermi level = 2.235 states/eV/cell

a b c (Å): 6.0167 6.0167 6.0167
angles (deg): 90.00 90.00 90.00
With the nearest neighbours (Å) after each atom.
Space group F-43m (No. 216)
One atom of each set of equivalent atoms:
Be1 0.0000 0.0000 0.0000 x4  4 Al 2.61, 4 W 2.61
Al1 0.2500 0.2500 0.7500 x4  4 Tc 2.61, 4 Be 2.61
Tc1 0.0000 0.0000 0.5000 x4  4 W 2.61, 4 Al 2.61
W1 0.2500 0.2500 0.2500 x4  4 Tc 2.61, 4 Be 2.61


# 19
VASP calculation (GGA-PBE) on BeAlTe after structural relaxation.

Values from the calculation:
spin magnetization = 0.0 μB/f.u.
density of states at the Fermi level = 2.360 states/eV/cell
distance to the lowest polymorph of the same formula = 0.506 eV/atom
formation energy without anion corrections = 0.470 eV/atom

a b c (Å): 3.2080 3.2080 11.1022
angles (deg): 90.00 90.00 90.00
With the nearest neighbours (Å) after each atom.
Space group I4mm (No. 107)
One atom of each set of equivalent atoms:
Be1 0.0000 0.0000 0.0000 x2  4 Al 2.57, 4 Te 2.86
Al1 0.0000 0.0000 0.3905 x2  4 Be 2.57
Te1 0.0000 0.0000 0.6563 x2  4 Be 2.86, 1 Al 2.95


# 20
VASP calculation (GGA-PBE) on BeAlTe after structural relaxation.

Values from the calculation:
spin magnetization = 0.0 μB/f.u.
density of states at the Fermi level = 1.346 states/eV/cell
distance to the lowest polymorph of the same formula = 0.197 eV/atom
formation energy without anion corrections = 0.160 eV/atom

a b c (Å): 3.8898 6.0476 6.2318
angles (deg): 104.72 107.29 108.49
With the nearest neighbours (Å) after each atom.
Space group P1 (No. 1)
One atom of each set of equivalent atoms:
Be1 0.0000 0.0000 0.0000 x1  1 Be 2.15
Be2 0.0966 0.3047 0.8730 x1  1 Be 2.15
Al1 0.7640 0.3542 0.1891 x1  4 Be 2.62-2.73, 1 Al 2.89
Al2 0.8795 0.7997 0.5642 x1  1 Be 2.51
Te1 0.4458 0.7902 0.0948 x1  3 Be 2.45-2.58
Te2 0.4495 0.2606 0.6072 x1  2 Be 2.45-2.46


Asked for uncorrected energy across the records above, the calculation gives -7.075, -7.055, -7.350, -7.024, -7.213, -6.690, -7.108, -4.397, -6.185, -5.125, -5.466, -7.118, -7.228, -6.341, -6.829, -6.973, -5.464, -7.842, -3.067, -3.377 eV/atom in order.